Material: Tb2ThWC4
Method: DFT, PBE
State: optimized geometry

a b c (Å): 6.3624 6.3624 12.3782
angles (deg): 90.00 90.00 147.75
Element x y z (fractional)
Tb (0.1309, 0.8691, 0.5389)
Tb (0.1309, 0.8691, 0.9611)
Tb (0.8691, 0.1309, 0.0389)
Tb (0.8691, 0.1309, 0.4611)
Th (0.3983, 0.6017, 0.7500)
Th (0.6017, 0.3983, 0.2500)
W (0.3380, 0.6620, 0.2500)
W (0.6620, 0.3380, 0.7500)
C (0.0690, 0.9310, 0.7500)
C (0.2348, 0.7652, 0.1314)
C (0.2348, 0.7652, 0.3686)
C (0.5000, 0.5000, 0.0000)
C (0.5000, 0.5000, 0.5000)
C (0.7652, 0.2348, 0.6314)
C (0.7652, 0.2348, 0.8686)
C (0.9310, 0.0690, 0.2500)

Values from the calculation:
The formation energy comes out at -0.7 eV/f.u. For the magnetic moment, the calculation gives 0.00 μB/f.u.

Material: Pm2MnSe4
Method: DFT, PBE
State: optimized geometry

a b c (Å): 7.0251 7.0251 14.0769
angles (deg): 90.00 90.00 146.67
Element x y z (fractional)
Pm (0.1343, 0.8657, 0.5763)
Pm (0.1343, 0.8657, 0.9237)
Pm (0.8657, 0.1343, 0.0763)
Pm (0.8657, 0.1343, 0.4237)
Mn (0.3835, 0.6165, 0.7500)
Mn (0.6165, 0.3835, 0.2500)
Se (0.0120, 0.9880, 0.7500)
Se (0.2192, 0.7808, 0.1239)
Se (0.2192, 0.7808, 0.3761)
Se (0.5000, 0.5000, 0.0000)
Se (0.5000, 0.5000, 0.5000)
Se (0.7808, 0.2192, 0.6239)
Se (0.7808, 0.2192, 0.8761)
Se (0.9880, 0.0120, 0.2500)

Values from the calculation:
The calculation puts the formation energy without anion corrections at -1331 meV/atom. For the magnetic moment, the calculation gives 5.00 μB/f.u.

Material: Rb3RhBr6
Method: DFT, PBE
State: optimized geometry

a b c (Å): 8.0979 8.0979 8.0979
angles (deg): 60.00 60.00 60.00
Element x y z (fractional)
Rb (0.0000, 0.0000, 0.0000)
Rb (0.2500, 0.2500, 0.2500)
Rb (0.7500, 0.7500, 0.7500)
Rh (0.5000, 0.5000, 0.5000)
Br (0.2809, 0.2809, 0.7191)
Br (0.2809, 0.7191, 0.2809)
Br (0.2809, 0.7191, 0.7191)
Br (0.7191, 0.2809, 0.2809)
Br (0.7191, 0.2809, 0.7191)
Br (0.7191, 0.7191, 0.2809)

Values from the calculation:
The calculation puts the formation energy without anion corrections at -1164 meV/atom. For the magnetic moment, the calculation gives 0.00 μB/f.u.

Material: ScCoB2
Method: DFT, PBE
State: optimized geometry

a b c (Å): 3.8346 3.8346 3.8346
angles (deg): 60.00 60.00 60.00
Element x y z (fractional)
Sc (0.0000, 0.0000, 0.0000)
Co (0.5000, 0.5000, 0.5000)
B (0.2500, 0.2500, 0.2500)
B (0.7500, 0.7500, 0.7500)

Values from the calculation:
The formation energy comes out at 0.1 eV/f.u. For the magnetic moment, the calculation gives 0.00 μB/f.u.

- Which formula does entry 1 have?
  Tb2ThWC4